DFT (PBE) results for a relaxed AlZnP2S crystal.

Cell lengths 4.6878, 4.6878, 4.5645 Å; angles 90.00, 90.00, 90.00 degrees
Last column: nearest neighbours and their distance in Å.
Fractional positions:
P 0.0000 0.5000 0.0000  2 Al 2.34
P 0.5000 0.0000 0.0000  2 Al 2.34
Zn 0.5000 0.5000 0.5000  8 P 3.27, 4 S 3.31
S 0.0000 0.0000 0.5000  2 Al 2.28
Al 0.0000 0.0000 0.0000  2 S 2.28, 4 P 2.34

Output
- Uncorrected formation energy: 0.593 eV/atom
- D(E_F): 0.96 states/eV/atom
- Energy relative to the lowest polymorph listed for this composition: 0.000 eV/atom